The following is a DFT calculation (GGA+U) of a relaxed structure of Rb2HfMo3O12.

Unit cell a=7.4114 b=7.4114 c=18.3478 alpha=90.00 beta=90.00 gamma=120.00
Space group R-3m (No. 166, hexagonal axes)
Unique sites:
Rb (0.0000, 0.0000, 0.1315) (multiplicity 6)
Hf (0.0000, 0.0000, 0.5000) (multiplicity 3)
Mo (0.0000, 0.5000, 0.0000) (multiplicity 9)
O (0.0714, 0.5357, 0.1006) (multiplicity 18)
O (0.0875, 0.5437, 0.3516) (multiplicity 18)

- volume (A^3/atom) = 16.16
- raw total energy (eV per atom) = -7.152
- total magnetic moment (μB/atom) = 0.000